1.
# BaRu2Au | Alexandria via LeMat-Bulk | PBE | relaxed
data_BaRu2Au
_cell_length_a 3.275
_cell_length_b 3.275
_cell_length_c 7.904
_cell_angle_alpha 90.00
_cell_angle_beta 90.00
_cell_angle_gamma 90.00
_symmetry_space_group_name_H-M 'P 1'
_symmetry_Int_Tables_number 1
loop_
_symmetry_equiv_pos_as_xyz
'x,y,z'
loop_
_atom_site_label
_atom_site_type_symbol
_atom_site_fract_x
_atom_site_fract_y
_atom_site_fract_z
Ba1 Ba 0.500 0.500 0.755
Ru1 Ru 0.000 0.000 0.082
Ru2 Ru 0.500 0.500 0.218
Au1 Au 0.000 0.000 0.445
# Magnetization in Bohr magnetons per cell: 0.00
# E_tot in eV per atom: -5.58
# ΔH_f (0 K) in eV per atom: 0.362
# Offset from the most stable computed form in eV/f.u.: 0.93

2.
# ErScOs | Alexandria via LeMat-Bulk | PBE | relaxed
data_ErScOs
_cell_length_a 7.295
_cell_length_b 8.388
_cell_length_c 8.388
_cell_angle_alpha 59.19
_cell_angle_beta 64.22
_cell_angle_gamma 64.22
_symmetry_space_group_name_H-M 'P 1'
_symmetry_Int_Tables_number 1
loop_
_symmetry_equiv_pos_as_xyz
'x,y,z'
loop_
_atom_site_label
_atom_site_type_symbol
_atom_site_fract_x
_atom_site_fract_y
_atom_site_fract_z
Os1 Os 0.753 0.750 0.250
Os2 Os 0.420 0.833 0.834
Os3 Os 0.087 0.666 0.667
Os4 Os 0.754 0.250 0.750
Os5 Os 0.087 0.167 0.166
Os6 Os 0.420 0.334 0.333
Er1 Er 0.167 0.543 0.043
Er2 Er 0.753 0.457 0.957
Er3 Er 0.753 0.957 0.457
Er4 Er 0.340 0.250 0.750
Er5 Er 0.167 0.043 0.543
Er6 Er 0.339 0.750 0.250
Sc1 Sc 0.005 0.500 0.500
Sc2 Sc 0.753 0.374 0.374
Sc3 Sc 0.502 0.626 0.626
Sc4 Sc 0.502 0.126 0.126
Sc5 Sc 0.753 0.874 0.874
Sc6 Sc 0.005 0.000 0.000
# Magnetization in Bohr magnetons per cell: 0.00
# E_tot in eV per atom: -7.75
# ΔH_f (0 K) in eV per atom: -0.376
# Offset from the most stable computed form in eV/f.u.: 0.00

3.
# V2HPdRh | Alexandria via LeMat-Bulk | PBE | relaxed
data_V2HPdRh
_cell_length_a 3.853
_cell_length_b 3.853
_cell_length_c 3.880
_cell_angle_alpha 90.00
_cell_angle_beta 90.00
_cell_angle_gamma 90.00
_symmetry_space_group_name_H-M 'P 1'
_symmetry_Int_Tables_number 1
loop_
_symmetry_equiv_pos_as_xyz
'x,y,z'
loop_
_atom_site_label
_atom_site_type_symbol
_atom_site_fract_x
_atom_site_fract_y
_atom_site_fract_z
Pd1 Pd 0.500 0.500 0.500
V1 V 0.500 0.000 0.000
V2 V 0.000 0.500 0.000
H1 H 0.000 0.000 0.000
Rh1 Rh 0.000 0.000 0.500
# Magnetization in Bohr magnetons per cell: 0.00
# E_tot in eV per atom: -7.07
# Offset from the most stable computed form in eV/f.u.: 0.00

4.
# MgZn2Si | Alexandria via LeMat-Bulk | PBE | relaxed
data_MgZn2Si
_cell_length_a 4.425
_cell_length_b 2.845
_cell_length_c 5.318
_cell_angle_alpha 89.98
_cell_angle_beta 90.00
_cell_angle_gamma 90.00
_symmetry_space_group_name_H-M 'P 1'
_symmetry_Int_Tables_number 1
loop_
_symmetry_equiv_pos_as_xyz
'x,y,z'
loop_
_atom_site_label
_atom_site_type_symbol
_atom_site_fract_x
_atom_site_fract_y
_atom_site_fract_z
Zn1 Zn 0.500 0.001 0.253
Zn2 Zn 0.000 0.998 0.004
Si1 Si 0.500 0.000 0.743
Mg1 Mg 0.000 0.500 0.499
# Magnetization in Bohr magnetons per cell: 0.00
# ΔE_f (raw) in eV per atom: 0.0685
# E_tot in eV per atom: -2.32
# Offset from the most stable computed form in eV/f.u.: 0.02

5.
# BeCoSi3 | Alexandria via LeMat-Bulk | PBE | relaxed
data_BeCoSi3
_cell_length_a 4.165
_cell_length_b 4.165
_cell_length_c 4.165
_cell_angle_alpha 90.00
_cell_angle_beta 90.00
_cell_angle_gamma 90.00
_symmetry_space_group_name_H-M 'P 1'
_symmetry_Int_Tables_number 1
loop_
_symmetry_equiv_pos_as_xyz
'x,y,z'
loop_
_atom_site_label
_atom_site_type_symbol
_atom_site_fract_x
_atom_site_fract_y
_atom_site_fract_z
Co1 Co 0.500 0.500 0.500
Si1 Si 0.000 0.500 0.000
Si2 Si 0.000 0.000 0.500
Si3 Si 0.500 0.000 0.000
Be1 Be 0.000 0.000 0.000
# Magnetization in Bohr magnetons per cell: 1.06
# ΔE_f (raw) in eV per atom: 0.9416
# E_tot in eV per atom: -4.48
# Offset from the most stable computed form in eV/f.u.: 1.49

6.
# Tl2HOF | Alexandria via LeMat-Bulk | PBE | relaxed
data_Tl2HOF
_cell_length_a 3.932
_cell_length_b 7.131
_cell_length_c 8.031
_cell_angle_alpha 116.51
_cell_angle_beta 90.00
_cell_angle_gamma 90.00
_symmetry_space_group_name_H-M 'P 1'
_symmetry_Int_Tables_number 1
loop_
_symmetry_equiv_pos_as_xyz
'x,y,z'
loop_
_atom_site_label
_atom_site_type_symbol
_atom_site_fract_x
_atom_site_fract_y
_atom_site_fract_z
Tl1 Tl 0.250 0.231 0.962
Tl2 Tl 0.750 0.774 0.549
Tl3 Tl 0.250 0.226 0.451
Tl4 Tl 0.750 0.769 0.038
O1 O 0.750 0.179 0.138
O2 O 0.250 0.821 0.862
F1 F 0.250 0.530 0.369
F2 F 0.750 0.470 0.631
H1 H 0.250 0.679 0.759
H2 H 0.750 0.321 0.241
# Magnetization in Bohr magnetons per cell: 0.00
# E_tot in eV per atom: -4.16
# Offset from the most stable computed form in eV/f.u.: 0.00